[1]
SmPaPb (GGA-PBE, optimized geometry); space-group type = P-6m2, No. 187; E_form = 0.28 eV per atom
1.0
-0.811 -3.124 -0.548
4.901 -0.918 -2.023
-0.912 -0.685 5.259
Pb Pa Sm
1 1 1
direct
0.667 0.667 0.333
0.167 0.333 0.667
0.166 0.000 0.000



[2]
ZrMn6Sn6 (GGA-PBE, optimized geometry); space-group type = P6/mmm, No. 191; E_form = -0.10 eV per atom
1.0
-0.288 -3.128 -4.393
4.812 1.293 2.083
-0.297 -7.275 5.200
Zr Mn Sn
1 6 6
direct
0.000 0.000 0.000
0.000 0.500 0.248
0.000 0.500 0.752
0.500 0.500 0.248
0.500 0.500 0.752
0.500 0.000 0.248
0.500 0.000 0.752
0.333 0.667 0.000
0.333 0.667 0.500
0.000 0.000 0.328
0.000 0.000 0.672
0.667 0.333 0.000
0.667 0.333 0.500



[3]
TbTe2Pt (GGA-PBE, optimized geometry); space-group type = R-3m, No. 166
1.0
-1.767 3.518 0.327
-3.016 0.470 2.508
4.209 3.635 7.493
Te Tb Pt
2 1 1
direct
0.113 0.113 0.662
0.887 0.887 0.338
0.000 0.000 0.000
0.500 0.500 0.500



[4]
Ac6CoIrAu2 (GGA-PBE, optimized geometry); space-group type = R3, No. 146; E_form = -0.46 eV per atom
1.0
7.787 0.000 0.001
3.894 6.742 0.000
3.894 2.247 6.807
Ac Co Ir Au
6 1 1 2
direct
0.584 0.198 0.260
0.198 0.958 0.260
0.958 0.584 0.260
0.453 0.692 0.765
0.692 0.090 0.765
0.089 0.453 0.765
0.323 0.323 0.030
0.824 0.824 0.528
0.520 0.520 0.440
0.019 0.019 0.942



[5]
ErCoGe3Rh (GGA-PBE, optimized geometry); space-group type = Cmcm, No. 63; E_form = -0.31 eV per atom
1.0
-4.189 -1.781 -3.335
1.829 -5.919 0.864
-4.954 2.489 4.893
Er Co Ge Rh
2 2 6 2
direct
0.750 0.175 0.351
0.250 0.825 0.649
0.250 0.047 0.095
0.750 0.953 0.905
0.250 0.213 0.426
0.000 0.282 0.000
0.500 0.718 0.000
0.500 0.282 0.000
0.000 0.718 0.000
0.750 0.787 0.574
0.250 0.385 0.770
0.750 0.615 0.230



[6]
Cs5KH6 (GGA-PBE, optimized geometry); space-group type = C2/m, No. 12
1.0
-3.031 6.243 -3.279
-1.609 -6.965 -2.796
-4.159 -0.212 6.433
Cs K H
5 1 6
direct
0.834 0.166 0.500
0.667 0.333 0.000
0.500 0.500 0.500
0.333 0.667 0.000
0.166 0.834 0.500
0.000 0.000 0.000
0.396 0.080 0.241
0.920 0.604 0.759
0.235 0.235 0.760
0.765 0.765 0.240
0.080 0.396 0.241
0.604 0.920 0.759



DOS at the Fermi energy, respectively: 5.9; 4.4; 2.7; 9.1; 5.9; 0.0 states/eV per cell.
Theoretical density, respectively: 11.9; 8.3; 8.3; 9.3; 7.7; 3.2 Mg/m³.
Raw total energy, respectively: -5.69; -6.84; -4.50; -5.18; -5.79; -2.29 eV per atom.